[1]
! BaGe3Mo | Alexandria via LeMat-Bulk | SCAN | PBEsol geometry; values from VASP
! - Symmetry: Pm-3m
! - Formation energy from the elements: -218.6 meV/atom
&SYSTEM
  ibrav = 0, nat = 5, ntyp = 3
/
ATOMIC_SPECIES
Mo 95.94 Mo.upf
Ba 137.33 Ba.upf
Ge 72.64 Ge.upf
ATOMIC_POSITIONS angstrom
Mo 0.000 0.000 0.000
Ba 2.452 2.452 2.452
Ge 2.452 0.000 0.000
Ge 0.000 2.452 0.000
Ge 0.000 0.000 2.452
CELL_PARAMETERS angstrom
4.904 0.000 0.000
0.000 4.904 0.000
0.000 0.000 4.904

[2]
! Zn3MoC | Alexandria via LeMat-Bulk | SCAN | PBEsol geometry; values from VASP
! - Symmetry: Pm-3m
! - Formation energy from the elements: 1069.7 meV/atom
&SYSTEM
  ibrav = 0, nat = 5, ntyp = 3
/
ATOMIC_SPECIES
C 12.01 C.upf
Mo 95.94 Mo.upf
Zn 65.41 Zn.upf
ATOMIC_POSITIONS angstrom
C 0.000 0.000 0.000
Mo 2.018 2.018 2.018
Zn 2.018 0.000 0.000
Zn 0.000 0.000 2.018
Zn 0.000 2.018 0.000
CELL_PARAMETERS angstrom
4.037 0.000 0.000
0.000 4.037 0.000
0.000 0.000 4.037

[3]
! MgTcC3 | Alexandria via LeMat-Bulk | SCAN | PBEsol geometry; values from VASP
! - Symmetry: Pm-3m
! - Formation energy from the elements: 3112.7 meV/atom
&SYSTEM
  ibrav = 0, nat = 5, ntyp = 3
/
ATOMIC_SPECIES
Mg 24.30 Mg.upf
C 12.01 C.upf
Tc 98.00 Tc.upf
ATOMIC_POSITIONS angstrom
Mg 0.000 0.000 0.000
C 0.000 0.000 1.955
C 0.000 1.955 0.000
C 1.955 0.000 0.000
Tc 1.955 1.955 1.955
CELL_PARAMETERS angstrom
3.910 0.000 0.000
0.000 3.910 0.000
0.000 0.000 3.910

[4]
! Zn2ReCl | Alexandria via LeMat-Bulk | SCAN | PBEsol geometry; values from VASP
! - Symmetry: I4/mmm
! - Relative energy among the computed polymorphs: 754 meV/atom
&SYSTEM
  ibrav = 0, nat = 4, ntyp = 3
/
ATOMIC_SPECIES
Zn 65.41 Zn.upf
Cl 35.45 Cl.upf
Re 186.21 Re.upf
ATOMIC_POSITIONS angstrom
Zn 0.636 2.674 0.726
Zn -0.036 1.087 2.627
Cl -1.967 1.539 0.589
Re 0.000 0.000 0.000
CELL_PARAMETERS angstrom
-1.294 3.126 -1.312
-2.640 -0.048 2.490
4.534 0.683 2.175

[5]
! Ag3POs | Alexandria via LeMat-Bulk | SCAN | PBEsol geometry; values from VASP
! - Symmetry: Pm-3m
! - Formation energy from the elements: 1351.9 meV/atom
&SYSTEM
  ibrav = 0, nat = 5, ntyp = 3
/
ATOMIC_SPECIES
Ag 107.87 Ag.upf
P 30.97 P.upf
Os 190.23 Os.upf
ATOMIC_POSITIONS angstrom
Ag 2.257 0.000 0.000
Ag 0.000 0.000 2.257
Ag 0.000 2.257 0.000
P 0.000 0.000 0.000
Os 2.257 2.257 2.257
CELL_PARAMETERS angstrom
4.514 0.000 0.000
0.000 4.514 0.000
0.000 0.000 4.514

[6]
! KCdAu | Alexandria via LeMat-Bulk | SCAN | PBEsol geometry; values from VASP
! - Symmetry: Imm2
! - Relative energy among the computed polymorphs: 46 meV/atom
! - Formation energy from the elements: -255.7 meV/atom
&SYSTEM
  ibrav = 0, nat = 3, ntyp = 3
/
ATOMIC_SPECIES
K 39.10 K.upf
Cd 112.41 Cd.upf
Au 196.97 Au.upf
ATOMIC_POSITIONS angstrom
K -2.472 2.592 1.684
Cd -2.884 -0.746 0.124
Au -0.340 0.356 0.231
CELL_PARAMETERS angstrom
-2.270 -0.366 -2.769
-1.792 -2.914 1.854
-1.633 5.483 2.953

[7]
! HfZn22 | Alexandria via LeMat-Bulk | SCAN | PBEsol geometry; values from VASP
! - Symmetry: Fd-3m
! - Formation energy from the elements: -62.4 meV/atom
&SYSTEM
  ibrav = 0, nat = 46, ntyp = 2
/
ATOMIC_SPECIES
Zn 65.41 Zn.upf
Hf 178.49 Hf.upf
ATOMIC_POSITIONS angstrom
Zn 16.031 9.256 4.870
Zn 9.776 1.475 2.558
Zn 12.149 4.274 1.458
Zn 8.498 6.381 7.420
Zn 11.143 4.855 5.107
Zn 7.332 1.411 0.998
Zn 14.664 6.887 4.870
Zn 4.888 5.644 0.998
Zn 12.149 2.799 3.543
Zn 8.408 4.855 5.107
Zn 13.386 4.988 6.434
Zn 9.776 8.385 1.458
Zn 9.776 5.644 0.998
Zn 8.539 9.099 6.434
Zn 13.296 7.677 7.103
Zn 4.888 2.822 4.989
Zn 11.053 9.122 3.543
Zn 9.776 4.169 7.420
Zn 6.125 5.011 3.543
Zn 8.498 9.122 3.543
Zn 6.165 7.729 2.558
Zn 12.220 7.055 4.989
Zn 8.408 6.434 2.874
Zn 13.427 5.011 3.543
Zn 7.402 7.014 0.538
Zn 16.031 7.677 7.103
Zn 9.776 2.903 0.538
Zn 9.776 7.223 5.107
Zn 7.402 2.845 6.434
Zn 13.386 7.729 2.558
Zn 7.332 7.055 4.989
Zn 11.053 6.381 7.420
Zn 11.143 6.434 2.874
Zn 2.444 1.411 0.998
Zn 9.776 2.822 4.989
Zn 9.776 4.065 2.874
Zn 11.013 9.099 6.434
Zn 7.402 2.799 3.543
Zn 7.402 4.274 1.458
Zn 12.149 7.014 0.538
Zn 12.149 2.845 6.434
Zn 6.165 4.988 6.434
Zn 13.296 9.256 4.870
Zn 14.664 10.045 7.103
Hf 4.888 2.822 1.995
Hf 0.000 0.000 0.000
CELL_PARAMETERS angstrom
9.776 0.000 0.000
4.888 8.466 0.000
4.888 2.822 7.982

[8]
! LaTlRu | Alexandria via LeMat-Bulk | SCAN | PBEsol geometry; values from VASP
! - Symmetry: P-6m2
! - Formation energy from the elements: -52.0 meV/atom
&SYSTEM
  ibrav = 0, nat = 3, ntyp = 3
/
ATOMIC_SPECIES
Ru 101.07 Ru.upf
La 138.91 La.upf
Tl 204.38 Tl.upf
ATOMIC_POSITIONS angstrom
Ru 1.830 0.000 2.724
La 0.000 0.000 0.000
Tl 1.832 2.359 1.362
CELL_PARAMETERS angstrom
3.663 0.000 0.000
0.000 4.718 0.000
0.000 -2.359 4.086